(1)
A geometry-optimized NiC structure. Source: Alexandria, functional PBE.

The calculation puts the total DFT energy (no corrections) at -12.64 eV for the cell shown. As for the space group: P4/mmm, No. 123.

```
NiC
1.0
2.707 0.000 0.000
0.000 2.707 0.000
0.000 0.000 2.620
Ni C
1 1
Cartesian
0.000 0.000 0.000 Ni
1.353 1.353 0.000 C
```



(2)
A geometry-optimized Dy2TmAg structure. Source: Alexandria, functional PBE.

Its relative energy among the computed polymorphs is 0.120 eV per atom. The calculation puts the total DFT energy (no corrections) at -16.58 eV for the cell shown. As for the space group: R3m, No. 160.

```
Dy2TmAg
1.0
1.779 1.027 10.317
-1.779 1.027 10.317
0.000 -2.054 10.317
Dy Tm Ag
2 1 1
Cartesian
0.000 0.000 0.000 Dy
0.000 0.000 5.620 Dy
0.000 0.000 23.449 Tm
0.000 0.000 18.280 Ag
```



(3)
A geometry-optimized Ac4SiAg2 structure. Source: Alexandria, functional PBE.

The formation energy from raw total energies is -46 meV/atom. The calculation puts the total DFT energy (no corrections) at -27.88 eV for the cell shown. As for the space group: I4/mmm, No. 139.

```
Ac4SiAg2
1.0
-3.024 3.024 7.632
3.024 -3.024 7.632
3.024 3.024 -7.632
Ac Si Ag
4 1 2
Cartesian
3.024 0.000 0.000 Ac
0.000 0.000 3.020 Ac
0.000 3.024 0.000 Ac
0.000 0.000 12.244 Ac
0.000 0.000 0.000 Si
0.000 0.000 6.151 Ag
0.000 0.000 9.114 Ag
```



(4)
A geometry-optimized UReB4 structure. Source: Alexandria, functional PBE.

Its relative energy among the computed polymorphs is 0.003 eV per atom. The calculation puts the total DFT energy (no corrections) at -214.72 eV for the cell shown. As for the space group: Pbam, No. 55.

```
UReB4
1.0
5.933 0.000 0.000
0.000 11.523 0.000
0.000 0.000 3.606
U Re B
4 4 16
Cartesian
0.762 1.728 0.000 U
2.205 7.490 0.000 U
3.728 4.033 0.000 U
5.171 9.795 0.000 U
0.829 4.679 0.000 Re
2.137 10.441 0.000 Re
3.796 1.083 0.000 Re
5.103 6.844 0.000 Re
0.163 7.982 1.803 B
0.684 6.301 1.803 B
0.785 11.153 1.803 B
1.248 9.343 1.803 B
1.718 3.581 1.803 B
2.181 5.392 1.803 B
2.282 0.539 1.803 B
2.803 2.221 1.803 B
3.130 9.302 1.803 B
3.651 10.984 1.803 B
3.751 6.132 1.803 B
4.214 7.942 1.803 B
4.685 2.181 1.803 B
5.147 0.370 1.803 B
5.248 5.223 1.803 B
5.769 3.541 1.803 B
```



(5)
A geometry-optimized SnSI2N structure. Source: Alexandria, functional PBE.

The formation energy from raw total energies is 996 meV/atom. Its relative energy among the computed polymorphs is 0.339 eV per atom. The calculation puts the total DFT energy (no corrections) at -14.58 eV for the cell shown. As for the space group: P4/mmm, No. 123.

```
SnSI2N
1.0
6.096 0.000 0.000
0.000 6.096 0.000
0.000 0.000 3.979
Sn S I N
1 1 2 1
Cartesian
0.000 0.000 0.000 Sn
3.048 3.048 1.990 S
0.000 3.048 0.000 I
3.048 0.000 0.000 I
0.000 0.000 1.990 N
```



(6)
A geometry-optimized La8Te4AsP3 structure. Source: Alexandria, functional PBE.

The formation energy from raw total energies is -1659 meV/atom. The calculation puts the total DFT energy (no corrections) at -99.42 eV for the cell shown. As for the space group: R-3m, No. 166.

```
La8Te4AsP3
1.0
4.380 2.529 7.453
-4.380 2.529 7.453
0.000 -5.057 7.453
La Te As P
8 4 1 3
Cartesian
-2.220 -1.281 12.809 La
0.000 0.000 5.336 La
0.000 -2.563 9.551 La
-2.220 1.281 9.551 La
2.220 -1.281 12.809 La
0.000 2.563 12.809 La
0.000 0.000 17.025 La
2.220 1.281 9.551 La
0.000 0.000 0.000 Te
-2.190 -1.264 7.453 Te
-2.190 1.264 14.907 Te
0.000 2.529 7.453 Te
0.000 0.000 11.180 As
-4.380 0.000 11.180 P
-2.190 1.264 3.727 P
2.190 1.264 3.727 P
```



(7)
A geometry-optimized TaNbV2N structure. Source: Alexandria, functional PBE.

The formation energy from raw total energies is -446 meV/atom. Its relative energy among the computed polymorphs is 0.006 eV per atom. The calculation puts the total DFT energy (no corrections) at -50.71 eV for the cell shown. As for the space group: P4/mmm, No. 123.

```
TaNbV2N
1.0
3.961 0.000 0.000
0.000 3.961 0.000
0.000 0.000 4.433
Ta Nb V N
1 1 2 1
Cartesian
0.000 0.000 0.000 Ta
1.980 1.980 0.000 Nb
0.000 1.980 2.217 V
1.980 0.000 2.217 V
1.980 1.980 2.217 N
```



(8)
A geometry-optimized NaErPtAu structure. Source: Alexandria, functional PBE.

The calculation puts the total DFT energy (no corrections) at -17.92 eV for the cell shown. As for the space group: F-43m, No. 216.

```
NaErPtAu
1.0
0.000 3.445 3.445
3.445 0.000 3.445
3.445 3.445 0.000
Na Er Pt Au
1 1 1 1
Cartesian
0.000 0.000 0.000 Na
3.445 3.445 3.445 Er
5.167 5.167 5.167 Pt
1.722 1.722 1.722 Au
```